Record 1
Material: ZrCd2Au
Method: DFT, GGA-PBE
State: relaxed

Calculated values
ΔE_f, eV per atom: -0.195
Space group: Pmmn (59)
Energy, eV per atom: -3.5960

a b c (Å): 4.7195 6.0335 5.6953
angles (deg): 90.00 90.00 90.00
Element x y z (fractional)
1 Cd 0.5000 0.7448 0.1418
2 Zr 0.0000 0.5000 0.4012
3 Au 0.0000 0.0000 0.3154
4 Au 0.5000 0.5000 0.6846
5 Zr 0.5000 0.0000 0.5988
6 Cd 0.0000 0.7552 0.8582
7 Cd 0.5000 0.2552 0.1418
8 Cd 0.0000 0.2448 0.8582

***

Record 2
Material: Sm2Ni7
Method: DFT, GGA-PBE
State: relaxed

Calculated values
ΔE_f, eV per atom: -0.345
Space group: R-3m (166)
Energy, eV per atom: -5.7219

a b c (Å): 12.4812 12.4812 12.4812
angles (deg): 22.96 22.96 22.96
Each line ends with the local moment (μB).
Element x y z (fractional)
1 Ni 0.5000 0.5000 0.0000  0.30
2 Ni 0.1092 0.6094 0.6094  0.11
3 Ni 0.5000 0.0000 0.5000  0.34
4 Ni 0.8908 0.3906 0.3906  0.11
5 Ni 0.0000 0.5000 0.5000  0.25
6 Ni 0.7217 0.7217 0.7217  0.19
7 Sm 0.1474 0.1474 0.1474  -0.03
8 Ni 0.2783 0.2783 0.2783  0.19
9 Ni 0.6094 0.1092 0.6094  0.14
10 Sm 0.9491 0.9491 0.9491  -0.04
11 Ni 0.6094 0.6094 0.1092  0.13
12 Sm 0.8526 0.8526 0.8526  -0.03
13 Ni 0.3880 0.3880 0.3880  0.20
14 Ni 0.5000 0.5000 0.5000  0.06
15 Ni 0.6120 0.6120 0.6120  0.20
16 Sm 0.0509 0.0509 0.0509  -0.04
17 Ni 0.3906 0.3906 0.8908  0.13
18 Ni 0.3906 0.8908 0.3906  0.14

***

> Look up the ΔE_f of the first one.

-0.195 eV per atom